Material: Cr2GaMo
Method: DFT, PBE
State: relaxed

Results
final energy = -8.260 eV per atom
total magnetization = 2.82 μB per cell
E_form = 0.0167 eV/atom

Cell and atoms, written as POSCAR:
```
Cr2GaMo
1.0
-0.063 1.318 2.786
2.754 -1.226 0.642
2.615 4.734 -2.181
Ga Mo Cr
1 1 2
Cartesian
2.653 2.413 0.624 Ga
1.346 0.046 1.714 Mo
0.639 1.157 -0.533 Cr
1.976 3.576 -1.647 Cr
```

Material: NbCu2Pd5Au2
Method: DFT, PBE
State: relaxed

Results
final energy = -5.143 eV per atom
total magnetization = 0.00 μB per cell
E_form = -0.0648 eV/atom

Cell and atoms, written as POSCAR:
```
NbCu2Pd5Au2
1.0
-0.344 -1.940 3.476
-7.037 -4.482 -3.198
5.452 -6.397 -3.031
Au Cu Pd Nb
4 4 10 2
Cartesian
2.207 -6.763 -3.557 Au
-2.159 -8.010 -4.685 Au
-3.792 -4.116 -2.672 Au
0.574 -2.868 -1.544 Au
-2.005 -2.473 -1.579 Cu
-4.119 -6.362 -3.958 Cu
0.420 -8.406 -4.650 Cu
2.534 -4.517 -2.270 Cu
-0.846 -10.431 -3.609 Pd
-0.497 -8.039 -2.240 Pd
-2.801 -6.741 -1.743 Pd
0.873 -6.077 -1.009 Pd
2.554 -4.169 0.222 Pd
-5.547 -6.321 -1.780 Pd
-1.431 -4.780 -0.513 Pd
-3.690 -3.211 0.139 Pd
-1.083 -2.388 0.856 Pd
3.618 -6.498 -0.973 Pd
-0.792 -5.439 -3.114 Nb
0.000 0.000 0.000 Nb
```

Material: CaPm9Nd2
Method: DFT, PBE
State: relaxed

Results
final energy = -4.480 eV per atom
total magnetization = 0.00 μB per cell
E_form = 0.0445 eV/atom
relative energy among the computed polymorphs = 8 meV per atom

Cell and atoms, written as POSCAR:
```
CaPm9Nd2
1.0
3.603 0.000 0.000
0.000 11.632 0.000
0.000 -5.816 10.074
Pm Nd Ca
9 2 1
Cartesian
1.802 -2.732 8.293 Pm
1.802 5.816 6.513 Pm
0.000 5.816 0.000 Pm
0.000 2.908 5.037 Pm
1.802 0.000 3.561 Pm
1.802 3.084 1.780 Pm
1.802 8.548 1.780 Pm
0.000 -2.908 5.037 Pm
1.802 2.732 8.293 Pm
0.000 0.000 6.716 Nd
0.000 5.816 3.358 Nd
0.000 0.000 0.000 Ca
```

Material: Mg3C
Method: DFT, PBE
State: relaxed

Results
final energy = -3.156 eV per atom
total magnetization = 0.00 μB per cell
E_form = 0.3463 eV/atom
relative energy among the computed polymorphs = 11 meV per atom

Cell and atoms, written as POSCAR:
```
Mg3C
1.0
-1.520 4.829 -1.576
-4.178 0.044 4.161
5.491 3.516 5.476
C Mg
4 12
Cartesian
-1.283 1.154 3.855 C
0.202 3.050 1.149 C
-0.409 5.338 6.912 C
1.076 7.234 4.205 C
1.250 4.148 6.013 Mg
3.514 3.569 4.114 Mg
1.472 5.481 2.735 Mg
0.536 2.484 3.375 Mg
3.296 6.649 4.554 Mg
-0.743 5.904 4.685 Mg
-1.679 2.907 5.325 Mg
-3.502 1.740 3.507 Mg
-3.721 4.820 3.946 Mg
1.081 7.071 6.504 Mg
-1.457 4.240 2.048 Mg
-1.287 1.317 1.557 Mg
```

Material: AgTePb
Method: DFT, PBE
State: relaxed

Results
final energy = -3.301 eV per atom
total magnetization = 0.00 μB per cell
ΔE_f (raw) = -0.0669 eV/atom

Cell and atoms, written as POSCAR:
```
AgTePb
1.0
-4.421 -0.028 -0.482
2.628 -0.165 -3.584
0.006 -4.998 0.234
Pb Ag Te
1 1 1
Cartesian
-2.070 -1.561 -1.446 Pb
0.006 -4.875 0.228 Ag
0.283 -3.751 -2.380 Te
```

Material: Li2ZrMnSe4
Method: DFT, PBE
State: relaxed

Results
final energy = -5.512 eV per atom
total magnetization = 4.90 μB per cell
ΔE_f (raw) = -1.0764 eV/atom

Cell and atoms, written as POSCAR:
```
Li2ZrMnSe4
1.0
-1.577 -2.778 -2.102
-1.026 -3.616 5.548
-5.411 3.944 -1.155
Se Zr Mn Li
4 1 1 2
Cartesian
-4.323 2.043 0.542 Se
-2.306 -1.337 0.019 Se
-5.707 -1.113 2.272 Se
-2.114 -1.715 3.851 Se
-1.302 -3.197 1.723 Zr
0.000 0.000 0.000 Mn
-3.218 0.164 2.197 Li
-3.494 0.583 -1.629 Li
```

Material: RbZrB
Method: DFT, PBE
State: relaxed

Results
final energy = -4.661 eV per atom
total magnetization = 1.51 μB per cell
E_form = 0.7371 eV/atom
relative energy among the computed polymorphs = 738 meV per atom

Cell and atoms, written as POSCAR:
```
RbZrB
1.0
3.300 -1.906 0.000
0.000 3.811 0.000
0.000 0.000 13.779
B Rb Zr
2 2 2
Cartesian
1.100 1.906 4.216 B
1.100 1.906 9.563 B
2.200 0.000 6.890 Rb
2.200 0.000 0.000 Rb
0.000 0.000 3.527 Zr
0.000 0.000 10.252 Zr
```

Material: Er3MnIn4Te8
Method: DFT, PBE
State: relaxed

Results
final energy = -4.426 eV per atom
total magnetization = 4.50 μB per cell
ΔE_f (raw) = -0.7424 eV/atom

Cell and atoms, written as POSCAR:
```
Er3MnIn4Te8
1.0
8.700 0.000 0.000
0.000 9.316 0.428
-4.350 -4.346 6.156
Er Te In Mn
3 8 4 1
Cartesian
4.350 4.658 0.214 Er
2.175 2.485 3.292 Er
-2.175 2.485 3.292 Er
4.350 4.643 3.278 Te
-2.247 2.397 6.355 Te
6.597 2.574 0.229 Te
2.104 2.574 0.229 Te
4.350 0.330 3.407 Te
2.247 2.397 6.355 Te
0.000 4.641 3.176 Te
0.000 0.327 3.306 Te
-2.175 -2.173 3.078 In
2.175 -2.173 3.078 In
4.350 0.000 0.000 In
0.000 0.000 0.000 In
0.000 4.658 0.214 Mn
```

Material: Np2SnGe3Pd4
Method: DFT, PBE
State: relaxed

Results
final energy = -6.844 eV per atom
total magnetization = 8.35 μB per cell
E_form = -0.3937 eV/atom

Cell and atoms, written as POSCAR:
```
Np2SnGe3Pd4
1.0
4.195 0.000 0.000
0.000 4.195 0.000
0.000 0.000 11.137
Ge Pd Sn Np
3 4 1 2
Cartesian
0.000 0.000 5.568 Ge
0.000 2.098 1.445 Ge
2.098 0.000 9.691 Ge
2.098 2.098 0.000 Pd
0.000 0.000 0.000 Pd
0.000 2.098 3.892 Pd
2.098 0.000 7.245 Pd
2.098 2.098 5.568 Sn
2.098 0.000 2.636 Np
0.000 2.098 8.501 Np
```

Material: OsW2
Method: DFT, PBE
State: relaxed

Results
final energy = -12.180 eV per atom
total magnetization = 0.00 μB per cell
E_form = 0.1982 eV/atom
relative energy among the computed polymorphs = 197 meV per atom

Cell and atoms, written as POSCAR:
```
OsW2
1.0
3.285 6.592 0.736
-3.416 -5.567 -3.483
-3.931 1.860 0.883
Os W
2 4
Cartesian
-2.316 3.174 -0.272 Os
-1.746 -0.288 -1.592 Os
0.580 3.933 -0.127 W
-3.986 -4.352 -3.002 W
-4.643 -1.048 -1.737 W
-0.077 7.237 1.138 W
```

Material: ScCuRh2
Method: DFT, PBE
State: relaxed

Results
final energy = -6.691 eV per atom
total magnetization = 0.00 μB per cell
E_form = -0.4082 eV/atom

Cell and atoms, written as POSCAR:
```
ScCuRh2
1.0
4.616 0.003 0.010
3.675 2.794 0.010
1.024 0.345 4.702
Cu Sc Rh
1 1 2
Cartesian
6.986 2.356 3.542 Cu
2.329 0.785 1.181 Sc
4.654 1.570 2.440 Rh
1.028 0.347 4.622 Rh
```

What did the eighth record say?
Material: Er3MnIn4Te8
Method: DFT, PBE
State: relaxed

Results
final energy = -4.426 eV per atom
total magnetization = 4.50 μB per cell
ΔE_f (raw) = -0.7424 eV/atom

Cell and atoms, written as POSCAR:
```
Er3MnIn4Te8
1.0
8.700 0.000 0.000
0.000 9.316 0.428
-4.350 -4.346 6.156
Er Te In Mn
3 8 4 1
Cartesian
4.350 4.658 0.214 Er
2.175 2.485 3.292 Er
-2.175 2.485 3.292 Er
4.350 4.643 3.278 Te
-2.247 2.397 6.355 Te
6.597 2.574 0.229 Te
2.104 2.574 0.229 Te
4.350 0.330 3.407 Te
2.247 2.397 6.355 Te
0.000 4.641 3.176 Te
0.000 0.327 3.306 Te
-2.175 -2.173 3.078 In
2.175 -2.173 3.078 In
4.350 0.000 0.000 In
0.000 0.000 0.000 In
0.000 4.658 0.214 Mn
```

Which formula does entry 11 have?
ScCuRh2

What is the total magnetization in the tenth record?
0.00 μB per cell